[1]
# RbPuCuCl6 PBE-GGA relaxed
data_RbPuCuCl6
_symmetry_space_group_name_H-M 'P -3 1 c'
_symmetry_Int_Tables_number 163
_symmetry_space_group_name_Hall '-P 3 2c'
_cell_length_a 6.6988
_cell_length_b 6.6988
_cell_length_c 14.8639
_cell_angle_alpha 90.00
_cell_angle_beta 90.00
_cell_angle_gamma 120.00
loop_
_atom_site_label
_atom_site_fract_x
_atom_site_fract_y
_atom_site_fract_z
_atom_site_occupancy
Rb1 0.0000 0.0000 0.0000 1
Pu1 0.3333 0.6667 0.2500 1
Cu1 0.3333 0.6667 0.7500 1
Cl1 0.0131 0.3736 0.6506 1
# Density of states at the Fermi level, states/eV/f.u.: 9.20

[2]
# Rb3PuCu2Cl9 PBE-GGA relaxed
data_Rb3PuCu2Cl9
_symmetry_space_group_name_H-M 'P -3 m 1'
_symmetry_Int_Tables_number 164
_symmetry_space_group_name_Hall '-P 3 2"'
_cell_length_a 7.2655
_cell_length_b 7.2655
_cell_length_c 8.9994
_cell_angle_alpha 90.00
_cell_angle_beta 90.00
_cell_angle_gamma 120.00
loop_
_atom_site_label
_atom_site_fract_x
_atom_site_fract_y
_atom_site_fract_z
_atom_site_occupancy
Rb1 0.0000 0.0000 0.0000 1
Rb2 0.3333 0.6667 0.6953 1
Pu1 0.0000 0.0000 0.5000 1
Cu1 0.3333 0.6667 0.1304 1
Cl1 0.0000 0.5000 0.0000 1
Cl2 0.1711 0.3422 0.3280 1
# Density of states at the Fermi level, states/eV/f.u.: 12.09

[3]
# Rb2PuCu3Cl12 PBE-GGA relaxed
data_Rb2PuCu3Cl12
_symmetry_space_group_name_H-M 'R -3 m'
_symmetry_Int_Tables_number 166
_symmetry_space_group_name_Hall '-R 3 2"'
_cell_length_a 8.5177
_cell_length_b 8.5177
_cell_length_c 26.9878
_cell_angle_alpha 90.00
_cell_angle_beta 90.00
_cell_angle_gamma 120.00
loop_
_atom_site_label
_atom_site_fract_x
_atom_site_fract_y
_atom_site_fract_z
_atom_site_occupancy
Rb1 0.0000 0.0000 0.0887 1
Pu1 0.0000 0.0000 0.5000 1
Cu1 0.0000 0.5000 0.0000 1
Cl1 0.0455 0.5227 0.1133 1
Cl2 0.0681 0.5341 0.3486 1
# Density of states at the Fermi level, states/eV/f.u.: 19.80

[4]
# Rb3PuCu2Cl8 PBE-GGA relaxed
data_Rb3PuCu2Cl8
_symmetry_space_group_name_H-M 'P -3 m 1'
_symmetry_Int_Tables_number 164
_symmetry_space_group_name_Hall '-P 3 2"'
_cell_length_a 7.3874
_cell_length_b 7.3874
_cell_length_c 9.4134
_cell_angle_alpha 90.00
_cell_angle_beta 90.00
_cell_angle_gamma 120.00
loop_
_atom_site_label
_atom_site_fract_x
_atom_site_fract_y
_atom_site_fract_z
_atom_site_occupancy
Rb1 0.0000 0.0000 0.0000 1
Rb2 0.3333 0.6667 0.6425 1
Pu1 0.0000 0.0000 0.5000 1
Cu1 0.3333 0.6667 0.2029 1
Cl1 0.1705 0.3409 0.3283 1
Cl2 0.3333 0.6667 0.9715 1
# Density of states at the Fermi level, states/eV/f.u.: 12.94

no.,density (g/cm³),final energy (eV/atom),uncorrected formation energy (eV per atom)
1,3.483,-4.8674,-1.481
2,3.821,-4.2757,-1.473
3,3.029,-3.9490,-1.131
4,3.401,-4.3487,-1.477